A plane-wave DFT calculation with PBE was carried out for crystalline SrCa5Tl3 at its relaxed geometry.

Computed properties:
Energy of formation from the pure elements ... -305.1 meV per atom

Cell and atoms, written as extended XYZ:
```
18
Lattice="7.268 0.000 0.000 0.000 9.730 0.000 0.000 -4.865 8.426" Properties=species:S:1:pos:R:3 pbc="T T T"
Sr 0.000 0.000 0.000
Sr 3.634 0.000 0.000
Ca 0.000 4.865 2.809
Ca 3.634 0.000 5.617
Ca 0.000 0.000 5.617
Ca 3.634 4.865 2.809
Ca 5.451 3.216 5.571
Ca 5.451 8.081 2.855
Ca 5.451 3.297 0.000
Ca 1.817 1.649 2.855
Ca 1.817 -3.216 5.571
Ca 1.817 6.433 0.000
Tl 5.451 1.620 2.807
Tl 5.451 6.485 5.619
Tl 5.451 6.488 0.000
Tl 1.817 3.244 5.619
Tl 1.817 -1.620 2.807
Tl 1.817 3.242 0.000
```

***

A plane-wave DFT calculation with PBE was carried out for crystalline UMo5 at its relaxed geometry.

Computed properties:
Energy of formation from the pure elements ... 116.1 meV per atom

Cell and atoms, written as extended XYZ:
```
6
Lattice="-2.183 0.937 -2.153 -3.360 -1.154 2.904 1.790 6.911 1.192" Properties=species:S:1:pos:R:3 pbc="T T T"
Mo -1.641 1.646 2.380
Mo 0.071 4.111 1.716
Mo -2.771 -0.109 0.376
Mo -1.055 2.599 -0.187
Mo -2.698 4.095 2.130
U 0.000 0.000 0.000
```

***

A plane-wave DFT calculation with PBE was carried out for crystalline AlCu2Te at its relaxed geometry.

Computed properties:
Distance to the lowest polymorph of the same formula ... 107 meV/atom

Cell and atoms, written as extended XYZ:
```
4
Lattice="2.933 0.000 0.000 0.000 3.799 0.000 0.000 0.000 6.280" Properties=species:S:1:pos:R:3 pbc="T T T"
Te 1.466 1.899 1.570
Al 1.466 1.899 4.710
Cu 0.000 0.000 5.922
Cu 0.000 0.000 3.498
```

***

A plane-wave DFT calculation with PBE was carried out for crystalline LiPrSCl at its relaxed geometry.

Computed properties:
Final energy ... -4.874 eV/atom

Cell and atoms, written as extended XYZ:
```
8
Lattice="3.992 0.000 0.000 1.996 3.457 0.000 1.996 1.152 13.913" Properties=species:S:1:pos:R:3 pbc="T T T"
Li 5.988 3.457 7.831
Li 1.996 1.152 6.083
Pr 3.992 2.305 3.515
Pr 3.992 2.305 10.399
S 1.996 1.152 8.597
S 5.988 3.457 5.317
Cl 5.988 3.457 12.137
Cl 1.996 1.152 1.777
```